[1]
Here is a geometry-optimized BaFe3C structure from the Alexandria database. Energies are from PBE-GGA.

Summary:
density	7.6	g/cm³
formation energy	0.787	eV/atom
ΔE to the lowest computed polymorph	0	meV/atom

abc: 4.1149 4.1149 4.1149
angles: 90.00 90.00 90.00
Atoms (fractional coordinates):
C 0.0000 0.0000 0.0000
Fe 0.5000 0.0000 0.0000
Fe 0.0000 0.0000 0.5000
Fe 0.0000 0.5000 0.0000
Ba 0.5000 0.5000 0.5000



[2]
Here is a geometry-optimized Sb2PtRhS structure from the Alexandria database. Energies are from PBE-GGA.

Summary:
density	8.2	g/cm³
raw formation energy	0.749	eV/atom

abc: 5.1518 4.3710 5.1518
angles: 90.00 90.00 90.00
Atoms (fractional coordinates):
Sb 0.5000 0.0000 0.0000
Sb 0.0000 0.0000 0.5000
Pt 0.0000 0.5000 0.0000
Rh 0.5000 0.5000 0.5000
S 0.0000 0.0000 0.0000



[3]
Here is a geometry-optimized YTa2V4 structure from the Alexandria database. Energies are from PBE-GGA.

Summary:
density	8.0	g/cm³
formation energy	1.619	eV/atom

abc: 4.5539 4.5539 7.3095
angles: 71.85 71.85 90.00
Atoms (fractional coordinates):
Y 0.0000 0.0000 0.0000
V 0.1960 0.1960 0.6079
V 0.5000 0.0000 0.0000
V 0.8040 0.8040 0.3921
V 0.0000 0.5000 0.0000
Ta 0.3770 0.3770 0.2459
Ta 0.6230 0.6230 0.7541



[4]
Here is a geometry-optimized Zr2TaS2 structure from the Alexandria database. Energies are from PBE-GGA.

Summary:
density	8.3	g/cm³
raw formation energy	-0.928	eV/atom

abc: 6.9477 6.9477 3.5230
angles: 90.00 90.00 90.00
Atoms (fractional coordinates):
Ta 0.0000 0.0000 0.0000
Ta 0.5000 0.5000 0.0000
Zr 0.8399 0.3399 0.5000
Zr 0.1601 0.6601 0.5000
Zr 0.3399 0.1601 0.5000
Zr 0.6601 0.8399 0.5000
S 0.6504 0.1504 0.0000
S 0.8496 0.6504 0.0000
S 0.1504 0.3496 0.0000
S 0.3496 0.8496 0.0000



[5]
Here is a geometry-optimized DyMgSc structure from the Alexandria database. Energies are from PBE-GGA.

Summary:
density	4.9	g/cm³
formation energy	-0.013	eV/atom
ΔE to the lowest computed polymorph	8	meV/atom

abc: 3.3608 3.3645 14.3561
angles: 90.00 76.46 90.00
Atoms (fractional coordinates):
Dy 0.1275 0.2909 0.5024
Dy 0.1173 0.7908 0.0098
Mg 0.4450 0.2926 0.1831
Mg 0.8006 0.7927 0.3294
Sc 0.7913 0.2898 0.8365
Sc 0.4530 0.7899 0.6757



[6]
Here is a geometry-optimized Hf2V6Ir structure from the Alexandria database. Energies are from PBE-GGA.

Summary:
density	10.0	g/cm³
formation energy	-0.088	eV/atom

abc: 5.3809 5.3809 5.6685
angles: 90.00 90.00 120.00
Atoms (fractional coordinates):
V 0.8226 0.6453 0.6547
V 0.6453 0.8226 0.3453
V 0.8226 0.1774 0.6547
V 0.3547 0.1774 0.6547
V 0.1774 0.8226 0.3453
V 0.1774 0.3547 0.3453
Hf 0.3333 0.6667 0.8862
Hf 0.6667 0.3333 0.1138
Ir 0.0000 0.0000 0.0000



[7]
Here is a geometry-optimized PuPaGe structure from the Alexandria database. Energies are from PBE-GGA.

Summary:
density	12.4	g/cm³
formation energy	-0.224	eV/atom
ΔE to the lowest computed polymorph	73	meV/atom

abc: 3.9220 3.7712 10.0674
angles: 100.80 90.00 90.00
Atoms (fractional coordinates):
Pu 0.7500 0.4377 0.3754
Pu 0.2500 0.5623 0.6246
Pa 0.2500 0.7007 0.9013
Pa 0.7500 0.2993 0.0987
Ge 0.7500 0.1350 0.7701
Ge 0.2500 0.8650 0.2299



[8]
Here is a geometry-optimized Ca2InHg2 structure from the Alexandria database. Energies are from PBE-GGA.

Summary:
density	7.0	g/cm³
formation energy	-0.450	eV/atom
ΔE to the lowest computed polymorph	13	meV/atom

abc: 4.7204 6.4203 10.3411
angles: 79.89 76.81 68.43
Atoms (fractional coordinates):
Hg 0.9586 0.1953 0.8874
Hg 0.0414 0.8047 0.1126
Hg 0.1362 0.3006 0.4269
Hg 0.8638 0.6994 0.5731
In 0.7857 0.0852 0.3435
In 0.2143 0.9148 0.6565
Ca 0.5044 0.3245 0.6666
Ca 0.4956 0.6755 0.3334
Ca 0.6839 0.7349 0.8972
Ca 0.3161 0.2651 0.1028



E_tot list, top to bottom, in eV for the cell shown: -32.60, -22.02, -55.31, -83.69, -25.14, -84.27, -58.23, -19.19
V list, top to bottom, in A^3/atom: 13.935, 23.202, 19.441, 17.006, 26.304, 15.793, 24.378, 28.231